1.
DFT (GGA-PBEsol) results for a geometry-optimized YIrO2 structure.

```
data_YIrO2
_symmetry_space_group_name_H-M 'P 1'
_symmetry_Int_Tables_number 1
_symmetry_space_group_name_Hall 'P 1'
_cell_length_a 3.3698
_cell_length_b 3.3698
_cell_length_c 6.3853
_cell_angle_alpha 74.70
_cell_angle_beta 74.70
_cell_angle_gamma 60.00
loop_
_atom_site_label
_atom_site_type_symbol
_atom_site_fract_x
_atom_site_fract_y
_atom_site_fract_z
Y1 Y 0.5000 0.5000 0.5000
Ir1 Ir 0.0000 0.0000 0.0000
O1 O 0.8914 0.8914 0.3258
O2 O 0.1086 0.1086 0.6742
```

Summary:
The total energy comes out at -8.521 eV per atom. The raw formation energy is -1734 meV/atom. Its size of the total moment is 1.00 μB/f.u.

2.
DFT (GGA-PBEsol) results for a geometry-optimized Y2IrO structure.

```
data_Y2IrO
_symmetry_space_group_name_H-M 'P 1'
_symmetry_Int_Tables_number 1
_symmetry_space_group_name_Hall 'P 1'
_cell_length_a 5.9198
_cell_length_b 5.9198
_cell_length_c 5.9198
_cell_angle_alpha 100.51
_cell_angle_beta 114.13
_cell_angle_gamma 114.13
loop_
_atom_site_label
_atom_site_type_symbol
_atom_site_fract_x
_atom_site_fract_y
_atom_site_fract_z
Y1 Y 0.9350 0.5600 0.1250
Y2 Y 0.0650 0.1900 0.6250
Y3 Y 0.4350 0.8750 0.8100
Y4 Y 0.5650 0.3750 0.4400
Ir1 Ir 0.5000 0.7500 0.2500
Ir2 Ir 0.0000 0.0000 0.0000
O1 O 0.5000 0.2500 0.7500
O2 O 0.0000 0.5000 0.5000
```

Summary:
The total energy comes out at -8.768 eV per atom. The raw formation energy is -1588 meV/atom. Its size of the total moment is 0.00 μB/f.u.

3.
DFT (GGA-PBEsol) results for a geometry-optimized Y3IrO structure.

```
data_Y3IrO
_symmetry_space_group_name_H-M 'P 1'
_symmetry_Int_Tables_number 1
_symmetry_space_group_name_Hall 'P 1'
_cell_length_a 5.2674
_cell_length_b 5.2674
_cell_length_c 5.2674
_cell_angle_alpha 90.00
_cell_angle_beta 90.00
_cell_angle_gamma 90.00
loop_
_atom_site_label
_atom_site_type_symbol
_atom_site_fract_x
_atom_site_fract_y
_atom_site_fract_z
Y1 Y 0.0000 0.5000 0.0000
Y2 Y 0.0000 0.0000 0.5000
Y3 Y 0.5000 0.0000 0.0000
Ir1 Ir 0.0000 0.0000 0.0000
O1 O 0.5000 0.5000 0.5000
```

Summary:
The total energy comes out at -7.163 eV per atom. The raw formation energy is -55 meV/atom. Its size of the total moment is 0.00 μB/f.u.

4.
DFT (GGA-PBEsol) results for a geometry-optimized ZnIr3O structure.

```
data_ZnIr3O
_symmetry_space_group_name_H-M 'P 1'
_symmetry_Int_Tables_number 1
_symmetry_space_group_name_Hall 'P 1'
_cell_length_a 4.0739
_cell_length_b 4.0739
_cell_length_c 4.0739
_cell_angle_alpha 90.00
_cell_angle_beta 90.00
_cell_angle_gamma 90.00
loop_
_atom_site_label
_atom_site_type_symbol
_atom_site_fract_x
_atom_site_fract_y
_atom_site_fract_z
Zn1 Zn 0.5000 0.5000 0.5000
Ir1 Ir 0.0000 0.5000 0.0000
Ir2 Ir 0.0000 0.0000 0.5000
Ir3 Ir 0.5000 0.0000 0.0000
O1 O 0.0000 0.0000 0.0000
```

Summary:
The total energy comes out at -6.526 eV per atom. The raw formation energy is 734 meV/atom. Its size of the total moment is 0.00 μB/f.u.

5.
DFT (GGA-PBEsol) results for a geometry-optimized Ir2Os structure.

```
data_Ir2Os
_symmetry_space_group_name_H-M 'P 1'
_symmetry_Int_Tables_number 1
_symmetry_space_group_name_Hall 'P 1'
_cell_length_a 2.7022
_cell_length_b 2.7022
_cell_length_c 12.1279
_cell_angle_alpha 96.40
_cell_angle_beta 96.40
_cell_angle_gamma 90.00
loop_
_atom_site_label
_atom_site_type_symbol
_atom_site_fract_x
_atom_site_fract_y
_atom_site_fract_z
Ir1 Ir 0.4224 0.4224 0.8447
Ir2 Ir 0.5776 0.5776 0.1553
Ir3 Ir 0.6724 0.1724 0.3447
Ir4 Ir 0.8276 0.3276 0.6553
Os1 Os 0.2500 0.7500 0.5000
Os2 Os 0.0000 0.0000 0.0000
```

Summary:
The total energy comes out at -10.446 eV per atom. As for the formation energy: 0.1750 eV/atom. Its size of the total moment is 0.00 μB/f.u.

6.
DFT (GGA-PBEsol) results for a geometry-optimized IrOs2 structure.

```
data_IrOs2
_symmetry_space_group_name_H-M 'P 1'
_symmetry_Int_Tables_number 1
_symmetry_space_group_name_Hall 'P 1'
_cell_length_a 2.7025
_cell_length_b 2.7025
_cell_length_c 6.0509
_cell_angle_alpha 102.90
_cell_angle_beta 102.90
_cell_angle_gamma 90.00
loop_
_atom_site_label
_atom_site_type_symbol
_atom_site_fract_x
_atom_site_fract_y
_atom_site_fract_z
Ir1 Ir 0.5000 0.5000 0.0000
Os1 Os 0.1689 0.1689 0.3379
Os2 Os 0.8311 0.8311 0.6621
```

Summary:
The total energy comes out at -11.359 eV per atom. As for the formation energy: 0.0591 eV/atom. Its size of the total moment is 0.00 μB/f.u.